Entry from Alexandria via LeMat-Bulk: an optimized crystal structure of La2Sc2Sb2P (PBE-GGA).

Cell: 8.9896 8.9896 8.9896 Å, 148.72 148.72 44.83°
Last column: nearest neighbours and their distance in Å.
Sites, in units of the cell vectors:
1 La 0.1704 0.1704 0.0000  1 P 2.83
2 La 0.8296 0.8296 0.0000  1 P 2.83
3 Sc 0.0000 0.5000 0.5000  2 P 2.42
4 Sc 0.5000 0.0000 0.5000  2 P 2.42
5 Sb 0.3715 0.3715 0.0000  4 Sc 3.23, 5 La 3.34-3.50
6 Sb 0.6285 0.6285 0.0000  4 Sc 3.23, 5 La 3.34-3.50
7 P 0.0000 0.0000 0.0000  4 Sc 2.42

Output
As for the space-group type: I4/mmm, No. 139. The calculated volume is 27.90 Å³ per atom. Its raw formation energy is -1.12 eV/atom. The value obtained for the density of states at the Fermi level is 6.0 states/eV per cell. For the total energy, the calculation gives -6.285 eV per atom.

***

Entry from Alexandria via LeMat-Bulk: an optimized crystal structure of KSc2Fe (PBE-GGA).

Cell: 3.7842 3.7842 10.2301 Å, 104.49 104.49 51.90°
Last column: nearest neighbours and their distance in Å.
Sites, in units of the cell vectors:
1 K 0.0000 0.0000 0.0000  2 K 3.31
2 Sc 0.5760 0.5760 0.6410  3 Fe 2.44-2.57
3 Sc 0.8684 0.8684 0.3593  3 Fe 2.44-2.57
4 Fe 0.2222 0.2222 0.5003  6 Sc 2.44-2.57

Output
As for the formation energy: 0.288 eV per atom. As for the space-group type: Cm, No. 8. Its energy above the most stable polymorph in this dataset is 55 kJ/mol of formula units. The calculated volume is 27.68 Å³ per atom. The value obtained for the density of states at the Fermi level is 3.1 states/eV per cell. For the total energy, the calculation gives -5.268 eV per atom.

***

Entry from Alexandria via LeMat-Bulk: an optimized crystal structure of YFe2NiTe (PBE-GGA).

Cell: 4.5327 4.5327 4.8403 Å, 90.00 90.00 90.00°
Last column: nearest neighbours and their distance in Å.
Sites, in units of the cell vectors:
1 Y 0.0000 0.0000 0.0000  4 Te 3.21, 8 Fe 3.32
2 Fe 0.0000 0.5000 0.5000  2 Ni 2.27
3 Fe 0.5000 0.0000 0.5000  2 Ni 2.27
4 Ni 0.5000 0.5000 0.5000  4 Fe 2.27, 2 Te 2.42
5 Te 0.5000 0.5000 0.0000  2 Ni 2.42

Output
As for the space-group type: P4/mmm, No. 123. The calculated volume is 19.89 Å³ per atom. Its raw formation energy is 0.27 eV/atom. The value obtained for the density of states at the Fermi level is 4.9 states/eV per cell. For the total energy, the calculation gives -6.195 eV per atom.

***

Entry from Alexandria via LeMat-Bulk: an optimized crystal structure of LaCe2Cd6 (PBE-GGA).

Cell: 8.9054 8.9054 3.3457 Å, 90.00 90.00 120.00°
Last column: nearest neighbours and their distance in Å.
Sites, in units of the cell vectors:
1 La 0.0000 0.0000 0.0000  2 La 3.35, 12 Cd 3.42
2 Ce 0.3333 0.6667 0.0000  2 Ce 3.35, 12 Cd 3.40
3 Ce 0.6667 0.3333 0.0000  2 Ce 3.35, 12 Cd 3.40
4 Cd 0.0000 0.3351 0.5000  3 Cd 2.94-2.98
5 Cd 0.0000 0.6649 0.5000  3 Cd 2.94-2.98
6 Cd 0.3351 0.0000 0.5000  3 Cd 2.94-2.98
7 Cd 0.3351 0.3351 0.5000  3 Cd 2.94-2.98
8 Cd 0.6649 0.0000 0.5000  3 Cd 2.94-2.98
9 Cd 0.6649 0.6649 0.5000  3 Cd 2.94-2.98

Output
As for the formation energy: -0.292 eV per atom. As for the space-group type: P6/mmm, No. 191. The calculated volume is 25.53 Å³ per atom. The value obtained for the density of states at the Fermi level is 16.7 states/eV per cell. For the total energy, the calculation gives -2.768 eV per atom.

***

Entry from Alexandria via LeMat-Bulk: an optimized crystal structure of ZnW2Se4 (PBE-GGA).

Cell: 3.3093 3.3093 17.1875 Å, 90.00 90.00 120.00°
Last column: nearest neighbours and their distance in Å.
Sites, in units of the cell vectors:
1 Zn 0.0000 0.0000 0.0000  6 Zn 3.31, 4 Se 3.40-3.61
2 W 0.0000 0.0000 0.2770  6 Se 2.55
3 W 0.3333 0.6667 0.7040  6 Se 2.55
4 Se 0.0000 0.0000 0.6058  3 W 2.55
5 Se 0.0000 0.0000 0.8023  3 W 2.55
6 Se 0.3333 0.6667 0.1785  3 W 2.55
7 Se 0.3333 0.6667 0.3752  3 W 2.55

Output
As for the space-group type: P3m1, No. 156. The calculated volume is 23.29 Å³ per atom. Its raw formation energy is -0.38 eV/atom. The value obtained for the density of states at the Fermi level is 0.3 states/eV per cell. For the total energy, the calculation gives -6.249 eV per atom.

***

Entry from Alexandria via LeMat-Bulk: an optimized crystal structure of ZnCoMoIr (PBE-GGA).

Cell: 4.2912 4.2912 4.2912 Å, 60.00 60.00 60.00°
Last column: nearest neighbours and their distance in Å.
Sites, in units of the cell vectors:
1 Zn 0.0000 0.0000 0.0000  4 Co 2.63, 4 Ir 2.63
2 Co 0.7500 0.7500 0.7500  4 Mo 2.63, 4 Zn 2.63
3 Mo 0.5000 0.5000 0.5000  4 Co 2.63, 4 Ir 2.63
4 Ir 0.2500 0.2500 0.2500  4 Mo 2.63, 4 Zn 2.63

Output
As for the formation energy: -0.044 eV per atom. As for the space-group type: F-43m, No. 216. The calculated volume is 13.97 Å³ per atom. The value obtained for the density of states at the Fermi level is 0.5 states/eV per cell. For the total energy, the calculation gives -7.062 eV per atom.

***

Entry from Alexandria via LeMat-Bulk: an optimized crystal structure of SiAgBr (PBE-GGA).

Cell: 6.4681 6.4681 6.4681 Å, 147.44 147.44 46.72°
Last column: nearest neighbours and their distance in Å.
Sites, in units of the cell vectors:
1 Si 0.0000 0.0000 0.0000  1 Br 2.29
2 Ag 0.5447 0.5447 0.0000  4 Si 2.62
3 Br 0.8075 0.8075 0.0000  1 Si 2.29

Output
As for the space-group type: I4mm, No. 107. Its energy above the most stable polymorph in this dataset is 0 kJ/mol of formula units. The calculated volume is 26.04 Å³ per atom. Its raw formation energy is 0.06 eV/atom. The value obtained for the density of states at the Fermi level is 0.8 states/eV per cell. For the total energy, the calculation gives -3.258 eV per atom.

***

Entry from Alexandria via LeMat-Bulk: an optimized crystal structure of AgAs2Br (PBE-GGA).

Cell: 3.1348 4.9585 5.3642 Å, 90.00 90.00 90.00°
Last column: nearest neighbours and their distance in Å.
Sites, in units of the cell vectors:
1 Ag 0.0000 0.0000 0.0000  4 As 2.93, 4 Br 3.11, 2 Ag 3.13
2 As 0.0000 0.5000 0.5000  4 Br 2.93, 6 As 3.11-3.13
3 As 0.5000 0.5000 0.0000  4 Ag 2.93, 6 As 3.11-3.13
4 Br 0.5000 0.0000 0.5000  4 As 2.93, 4 Ag 3.11, 2 Br 3.13

Output
As for the space-group type: Pmmm, No. 47. Its energy above the most stable polymorph in this dataset is 206 kJ/mol of formula units. The calculated volume is 20.85 Å³ per atom. Its raw formation energy is 0.40 eV/atom. The value obtained for the density of states at the Fermi level is 1.7 states/eV per cell. For the total energy, the calculation gives -3.053 eV per atom.

***

Entry from Alexandria via LeMat-Bulk: an optimized crystal structure of VAgSe (PBE-GGA).

Cell: 4.0302 4.0302 6.4817 Å, 90.00 90.00 90.00°
Last column: nearest neighbours and their distance in Å.
Sites, in units of the cell vectors:
1 V 0.2500 0.7500 0.0000  4 Se 2.57, 4 V 2.85
2 V 0.7500 0.2500 0.0000  4 Se 2.57, 4 V 2.85
3 Ag 0.2500 0.2500 0.3276  5 Se 2.76-2.90, 4 V 2.93
4 Ag 0.7500 0.7500 0.6724  5 Se 2.76-2.90, 4 V 2.93
5 Se 0.2500 0.2500 0.7537  4 V 2.57, 1 Ag 2.76
6 Se 0.7500 0.7500 0.2463  4 V 2.57, 1 Ag 2.76

Output
As for the space-group type: P4/nmm, No. 129. Its energy above the most stable polymorph in this dataset is 12 kJ/mol of formula units. The calculated volume is 17.55 Å³ per atom. Its raw formation energy is -0.12 eV/atom. The value obtained for the density of states at the Fermi level is 4.3 states/eV per cell. For the total energy, the calculation gives -5.267 eV per atom.

***

Entry from Alexandria via LeMat-Bulk: an optimized crystal structure of LiCa2Ga5Rh2 (PBE-GGA).

Cell: 9.9281 9.9281 3.7800 Å, 90.00 90.00 90.00°
Last column: nearest neighbours and their distance in Å.
Sites, in units of the cell vectors:
1 Li 0.0000 0.0000 0.0000  8 Ga 2.81
2 Li 0.5000 0.5000 0.0000  8 Ga 2.81
3 Ca 0.1807 0.3193 0.0000  3 Rh 2.81-3.04
4 Ca 0.3193 0.8193 0.0000  3 Rh 2.81-3.04
5 Ca 0.6807 0.1807 0.0000  3 Rh 2.81-3.04
6 Ca 0.8193 0.6807 0.0000  3 Rh 2.81-3.04
7 Ga 0.0000 0.5000 0.5000  4 Rh 2.52
8 Ga 0.0580 0.7986 0.5000  2 Rh 2.67, 2 Li 2.81, 2 Ga 2.94
9 Ga 0.2014 0.0580 0.5000  2 Rh 2.67, 2 Li 2.81, 2 Ga 2.94
10 Ga 0.2986 0.5580 0.5000  2 Rh 2.67, 2 Li 2.81, 2 Ga 2.94
11 Ga 0.4420 0.2986 0.5000  2 Rh 2.67, 2 Li 2.81, 2 Ga 2.94
12 Ga 0.5000 0.0000 0.5000  4 Rh 2.52
13 Ga 0.5580 0.7014 0.5000  2 Rh 2.67, 2 Li 2.81, 2 Ga 2.94
14 Ga 0.7014 0.4420 0.5000  2 Rh 2.67, 2 Li 2.81, 2 Ga 2.94
15 Ga 0.7986 0.9420 0.5000  2 Rh 2.67, 2 Li 2.81, 2 Ga 2.94
16 Ga 0.9420 0.2014 0.5000  2 Rh 2.67, 2 Li 2.81, 2 Ga 2.94
17 Rh 0.1189 0.6189 0.0000  6 Ga 2.52-2.67, 1 Ca 2.81
18 Rh 0.3811 0.1189 0.0000  6 Ga 2.52-2.67, 1 Ca 2.81
19 Rh 0.6189 0.8811 0.0000  6 Ga 2.52-2.67, 1 Ca 2.81
20 Rh 0.8811 0.3811 0.0000  6 Ga 2.52-2.67, 1 Ca 2.81

Output
As for the formation energy: -0.514 eV per atom. As for the space-group type: P4/mbm, No. 127. The calculated volume is 18.63 Å³ per atom. The value obtained for the density of states at the Fermi level is 11.6 states/eV per cell. For the total energy, the calculation gives -4.090 eV per atom.